A:
An optimized crystal structure of Cd2GaOsO, computed with GGA-PBE.

Calculated values
Total magnetic moment (Bohr magnetons per cell): 0.00
D(E_F) (states/eV/f.u.): 2.3

Cell lengths 4.620, 4.620, 3.888 Å; angles 90.00, 90.00, 90.00 degrees
Space group P4/mmm (No. 123)
One atom of each set of equivalent atoms:
Cd 0.000 0.500 0.000
Ga 0.000 0.000 0.500
Os 0.500 0.500 0.500
O 0.000 0.000 0.000

---

B:
An optimized crystal structure of Cd2GaOsO, computed with GGA-PBE.

Calculated values
Total magnetic moment (Bohr magnetons per cell): 2.03
D(E_F) (states/eV/f.u.): 3.6

Cell lengths 5.276, 5.276, 4.746 Å; angles 90.00, 90.00, 90.00 degrees
Space group P4/mmm (No. 123)
One atom of each set of equivalent atoms:
Cd 0.000 0.500 0.000
Ga 0.000 0.000 0.500
Os 0.000 0.000 0.000
O 0.500 0.500 0.500

---

Bottom line: A, by a margin of 0.525 eV/atom.

---

A:
An optimized crystal structure of CdGaP2O, computed with GGA-PBE.

Calculated values
Total magnetic moment (Bohr magnetons per cell): 0.00
D(E_F) (states/eV/f.u.): 3.8

Cell lengths 5.055, 5.055, 3.565 Å; angles 90.00, 90.00, 90.00 degrees
Space group P4/mmm (No. 123)
One atom of each set of equivalent atoms:
Cd 0.000 0.000 0.000
Ga 0.500 0.500 0.500
P 0.000 0.500 0.500
O 0.500 0.500 0.000

---

B:
An optimized crystal structure of CdGaP2O, computed with GGA-PBE.

Calculated values
Total magnetic moment (Bohr magnetons per cell): 0.89
D(E_F) (states/eV/f.u.): 5.2

Cell lengths 5.103, 5.103, 4.033 Å; angles 90.00, 90.00, 90.00 degrees
Space group P4/mmm (No. 123)
One atom of each set of equivalent atoms:
Cd 0.000 0.000 0.000
Ga 0.500 0.500 0.500
P 0.000 0.500 0.000
O 0.000 0.000 0.500

---

Bottom line: A, by a margin of 0.590 eV/atom.